Entry from Alexandria: a geometry-optimized PrLu6 structure (PBE-GGA).

Values from the calculation:
**Crystal system**: cubic
**Formation energy from the elements**: 10.582 eV per formula unit

Cell lengths 7.0496, 7.0496, 7.0496 Å; angles 109.47, 109.47, 109.47 degrees
Closest atoms and distances in Å follow each position.
Atoms (fractional coordinates):
Pr 0.0000 0.0000 0.0000  24 Lu 4.55
Lu 0.2500 0.5000 0.7500  4 Lu 2.88
Lu 0.2500 0.7500 0.5000  4 Lu 2.88
Lu 0.5000 0.2500 0.7500  4 Lu 2.88
Lu 0.5000 0.7500 0.2500  4 Lu 2.88
Lu 0.7500 0.2500 0.5000  4 Lu 2.88
Lu 0.7500 0.5000 0.2500  4 Lu 2.88

Entry from Alexandria: a geometry-optimized CePm2S5 structure (PBE-GGA).

Values from the calculation:
**Crystal system**: orthorhombic
**Formation energy (no corrections)**: -1978 meV/atom

Cell lengths 11.9482, 8.0900, 7.5101 Å; angles 90.00, 90.00, 90.00 degrees
Closest atoms and distances in Å follow each position.
Atoms (fractional coordinates):
Ce 0.0092 0.2500 0.0737  7 S 2.68-2.89
Ce 0.4908 0.7500 0.5737  7 S 2.68-2.89
Ce 0.5092 0.2500 0.4263  7 S 2.68-2.89
Ce 0.9908 0.7500 0.9263  7 S 2.68-2.89
Pm 0.1782 0.9996 0.5182  8 S 2.87-3.08
Pm 0.1782 0.5004 0.5182  8 S 2.87-3.08
Pm 0.3218 0.0004 0.0182  8 S 2.87-3.08
Pm 0.3218 0.4996 0.0182  8 S 2.87-3.08
Pm 0.6782 0.9996 0.9818  8 S 2.87-3.08
Pm 0.6782 0.5004 0.9818  8 S 2.87-3.08
Pm 0.8218 0.0004 0.4818  8 S 2.87-3.08
Pm 0.8218 0.4996 0.4818  8 S 2.87-3.08
S 0.0011 0.2500 0.4578  1 Ce 2.89, 4 Pm 2.95-2.96, 1 S 3.23
S 0.0989 0.5430 0.1605  2 Ce 2.68-2.75, 2 Pm 2.87-2.89
S 0.0989 0.9570 0.1605  2 Ce 2.68-2.75, 2 Pm 2.87-2.89
S 0.1870 0.2500 0.8266  1 Ce 2.82, 4 Pm 2.96-3.08
S 0.2156 0.7500 0.7997  1 Ce 2.85, 4 Pm 2.90-2.96
S 0.2844 0.2500 0.2997  1 Ce 2.85, 4 Pm 2.90-2.96
S 0.3130 0.7500 0.3266  1 Ce 2.82, 4 Pm 2.96-3.08
S 0.4011 0.0430 0.6605  2 Ce 2.68-2.75, 2 Pm 2.87-2.89
S 0.4011 0.4570 0.6605  2 Ce 2.68-2.75, 2 Pm 2.87-2.89
S 0.4989 0.7500 0.9578  1 Ce 2.89, 4 Pm 2.95-2.96, 1 S 3.23
S 0.5011 0.2500 0.0422  1 Ce 2.89, 4 Pm 2.95-2.96, 1 S 3.23
S 0.5989 0.5430 0.3395  2 Ce 2.68-2.75, 2 Pm 2.87-2.89
S 0.5989 0.9570 0.3395  2 Ce 2.68-2.75, 2 Pm 2.87-2.89
S 0.6870 0.2500 0.6734  1 Ce 2.82, 4 Pm 2.96-3.08
S 0.7156 0.7500 0.7003  1 Ce 2.85, 4 Pm 2.90-2.96
S 0.7844 0.2500 0.2003  1 Ce 2.85, 4 Pm 2.90-2.96
S 0.8130 0.7500 0.1734  1 Ce 2.82, 4 Pm 2.96-3.08
S 0.9011 0.0430 0.8395  2 Ce 2.68-2.75, 2 Pm 2.87-2.89
S 0.9011 0.4570 0.8395  2 Ce 2.68-2.75, 2 Pm 2.87-2.89
S 0.9989 0.7500 0.5422  1 Ce 2.89, 4 Pm 2.95-2.96, 1 S 3.23

Entry from Alexandria: a geometry-optimized K2Mg3Pb5 structure (PBE-GGA).

Values from the calculation:
**Crystal system**: orthorhombic
**Formation energy from the elements**: -1.143 eV per formula unit

Cell lengths 10.2472, 10.2472, 10.2472 Å; angles 100.95, 93.06, 139.18 degrees
Closest atoms and distances in Å follow each position.
Atoms (fractional coordinates):
K 0.1319 0.2410 0.3729  10 Pb 3.70-4.12, 4 Mg 3.82-3.91
K 0.3681 0.7410 0.1091  10 Pb 3.70-4.12, 4 Mg 3.82-3.91
K 0.6319 0.2590 0.8909  10 Pb 3.70-4.12, 4 Mg 3.82-3.91
K 0.8681 0.7590 0.6271  10 Pb 3.70-4.12, 4 Mg 3.82-3.91
Mg 0.1256 0.8712 0.9968  5 Pb 2.94-3.09
Mg 0.2500 0.7500 0.5000  6 Pb 3.04-3.39
Mg 0.3744 0.3712 0.7456  5 Pb 2.94-3.09
Mg 0.6256 0.6288 0.2544  5 Pb 2.94-3.09
Mg 0.7500 0.2500 0.5000  6 Pb 3.04-3.39
Mg 0.8744 0.1288 0.0032  5 Pb 2.94-3.09
Pb 0.0094 0.7500 0.2594  3 Mg 3.09-3.39, 2 Pb 3.21
Pb 0.1091 0.6465 0.7556  3 Mg 2.94-3.04, 2 Pb 3.21
Pb 0.2500 0.2500 0.0000  4 Mg 3.03
Pb 0.3909 0.1465 0.5374  3 Mg 2.94-3.04, 2 Pb 3.21
Pb 0.4906 0.7500 0.7406  3 Mg 3.09-3.39, 2 Pb 3.21
Pb 0.5094 0.2500 0.2594  3 Mg 3.09-3.39, 2 Pb 3.21
Pb 0.6091 0.8535 0.4626  3 Mg 2.94-3.04, 2 Pb 3.21
Pb 0.7500 0.7500 0.0000  4 Mg 3.03
Pb 0.8909 0.3535 0.2444  3 Mg 2.94-3.04, 2 Pb 3.21
Pb 0.9906 0.2500 0.7406  3 Mg 3.09-3.39, 2 Pb 3.21

Entry from Alexandria: a geometry-optimized TiTl2F6 structure (PBE-GGA).

Values from the calculation:
**Crystal system**: monoclinic
**Formation energy (no corrections)**: -2775 meV/atom

Cell lengths 6.0248, 6.0248, 4.9370 Å; angles 90.16, 90.16, 60.22 degrees
Closest atoms and distances in Å follow each position.
Atoms (fractional coordinates):
Ti 0.0000 0.0000 0.0000  6 F 1.90
Tl 0.3333 0.3333 0.6895  12 F 3.01-3.23
Tl 0.6667 0.6667 0.3105  12 F 3.01-3.23
F 0.1497 0.6998 0.2157  1 Ti 1.90
F 0.1509 0.1509 0.2166  1 Ti 1.90
F 0.3002 0.8503 0.7843  1 Ti 1.90
F 0.6998 0.1497 0.2157  1 Ti 1.90
F 0.8491 0.8491 0.7834  1 Ti 1.90
F 0.8503 0.3002 0.7843  1 Ti 1.90

Q: Number 1 is which compound?
A: PrLu6